Compound: GeBi2Br
Source: the Alexandria database
Functional: PBE
Structure: optimized geometry

abc: 7.5150 7.5150 7.5150
angles: 90.00 90.00 90.00
Fractional positions:
Ge 0.0000 0.0000 0.0000
Ge 0.0000 0.5000 0.5000
Ge 0.5000 0.0000 0.5000
Ge 0.5000 0.5000 0.0000
Bi 0.2500 0.2500 0.2500
Bi 0.2500 0.2500 0.7500
Bi 0.2500 0.7500 0.2500
Bi 0.2500 0.7500 0.7500
Bi 0.7500 0.2500 0.2500
Bi 0.7500 0.2500 0.7500
Bi 0.7500 0.7500 0.2500
Bi 0.7500 0.7500 0.7500
Br 0.0000 0.0000 0.5000
Br 0.0000 0.5000 0.0000
Br 0.5000 0.0000 0.0000
Br 0.5000 0.5000 0.5000

E	-3.3813	eV per atom
density	8.9	g/cm³
E_form (uncorrected)	0.132	eV per atom